1.
Entry from the Alexandria database: KBaV2 after structural relaxation (GGA-PBE).

Output
As for the density of states at the Fermi level: 1.32 states/eV per atom. For the total magnetic moment, the calculation gives 0.0002 μB/atom. Its theoretical density is 3.73 Mg/m³. For the calculated formation energy, the calculation gives 1622 meV/atom. The calculation puts the polymorph energy (0 for the lowest one) at 237 meV/atom. The space-group type is I-42d, No. 122.

Lattice parameters (Å, degrees): 4.5902 4.5902 12.2118 79.17 79.17 90.00
Sites, in units of the cell vectors:
K1 0.5000 0.5000 0.0000
K2 0.2500 0.7500 0.5000
Ba1 0.0000 0.0000 0.0000
Ba2 0.7500 0.2500 0.5000
V1 0.8582 0.1250 0.2500
V2 0.8918 0.6250 0.2500
V3 0.3750 0.1418 0.7500
V4 0.8750 0.1082 0.7500

2.
Entry from the Alexandria database: SiAg2Pb after structural relaxation (GGA-PBE).

Output
As for the density of states at the Fermi level: 0.35 states/eV per atom. For the total magnetic moment, the calculation gives 0.0000 μB/atom. Its theoretical density is 8.74 Mg/m³. The value obtained for the raw formation energy is 0.27 eV per atom. The calculation puts the polymorph energy (0 for the lowest one) at 2 meV/atom. The space-group type is C2/m, No. 12.

Lattice parameters (Å, degrees): 4.5006 4.5006 6.3153 78.27 78.27 43.35
Sites, in units of the cell vectors:
Ag1 0.9872 0.9872 0.0630
Ag2 0.5128 0.5128 0.4370
Pb1 0.7500 0.7500 0.7500
Si1 0.2500 0.2500 0.2500

3.
Entry from the Alexandria database: LiAgPb3 after structural relaxation (GGA-PBE).

Output
As for the density of states at the Fermi level: 0.40 states/eV per atom. For the total magnetic moment, the calculation gives 0.0000 μB/atom. Its theoretical density is 9.58 Mg/m³. For the calculated formation energy, the calculation gives -39 meV/atom. The calculation puts the polymorph energy (0 for the lowest one) at 0 meV/atom. The space-group type is P2_1/c, No. 14.

Lattice parameters (Å, degrees): 7.5955 7.9620 8.9977 110.15 90.00 90.00
Sites, in units of the cell vectors:
Li1 0.7714 0.5310 0.4253
Li2 0.2286 0.4690 0.5747
Li3 0.2714 0.9690 0.0747
Li4 0.7286 0.0310 0.9253
Ag1 0.4206 0.2258 0.9667
Ag2 0.5794 0.7742 0.0333
Ag3 0.9206 0.2742 0.5333
Ag4 0.0794 0.7258 0.4667
Pb1 0.0938 0.3138 0.2333
Pb2 0.9062 0.6862 0.7667
Pb3 0.5938 0.1862 0.2667
Pb4 0.4062 0.8138 0.7333
Pb5 0.4319 0.6290 0.3051
Pb6 0.5681 0.3710 0.6949
Pb7 0.9319 0.8710 0.1949
Pb8 0.0681 0.1290 0.8051
Pb9 0.7296 0.9363 0.5426
Pb10 0.2704 0.0637 0.4574
Pb11 0.2296 0.5637 0.9574
Pb12 0.7704 0.4363 0.0426

4.
Entry from the Alexandria database: Li12ZnPd6 after structural relaxation (GGA-PBE).

Output
As for the density of states at the Fermi level: 0.25 states/eV per atom. For the total magnetic moment, the calculation gives 0.0000 μB/atom. Its theoretical density is 4.41 Mg/m³. For the calculated formation energy, the calculation gives -335 meV/atom. The space-group type is R-3, No. 148.

Lattice parameters (Å, degrees): 6.6653 6.6653 6.6653 90.13 90.13 90.13
Sites, in units of the cell vectors:
Li1 0.8131 0.5214 0.4235
Li2 0.4235 0.8131 0.5214
Li3 0.5214 0.4235 0.8131
Li4 0.1869 0.4786 0.5765
Li5 0.5765 0.1869 0.4786
Li6 0.4786 0.5765 0.1869
Li7 0.0256 0.1437 0.3813
Li8 0.8563 0.6187 0.9744
Li9 0.6187 0.9744 0.8563
Li10 0.9744 0.8563 0.6187
Li11 0.1437 0.3813 0.0256
Li12 0.3813 0.0256 0.1437
Zn1 0.0000 0.0000 0.0000
Pd1 0.7339 0.8790 0.2677
Pd2 0.7323 0.2661 0.1210
Pd3 0.1210 0.7323 0.2661
Pd4 0.2661 0.1210 0.7323
Pd5 0.2677 0.7339 0.8790
Pd6 0.8790 0.2677 0.7339

5.
Entry from the Alexandria database: ThSeBr2 after structural relaxation (GGA-PBE).

Output
For the total magnetic moment, the calculation gives 0.0000 μB/atom. Its theoretical density is 5.02 Mg/m³. The value obtained for the raw formation energy is -1.62 eV per atom. The space-group type is Cm, No. 8.

Lattice parameters (Å, degrees): 4.0144 5.5032 8.0987 109.41 90.00 111.39
Sites, in units of the cell vectors:
Th1 0.7346 0.4692 0.3751
Se1 0.4388 0.8775 0.3748
Br1 0.0857 0.1714 0.0998
Br2 0.2409 0.4819 0.6503

6.
Entry from the Alexandria database: CaLa2Re after structural relaxation (GGA-PBE).

Output
As for the density of states at the Fermi level: 1.20 states/eV per atom. For the total magnetic moment, the calculation gives 0.0002 μB/atom. Its theoretical density is 7.99 Mg/m³. For the calculated formation energy, the calculation gives 663 meV/atom. The calculation puts the polymorph energy (0 for the lowest one) at 468 meV/atom. The space-group type is C2/m, No. 12.

Lattice parameters (Å, degrees): 6.3338 6.1497 3.1968 88.19 76.29 118.52
Sites, in units of the cell vectors:
Re1 0.5000 0.5000 0.0000
Ca1 0.5000 0.0000 0.5000
La1 0.0000 0.0000 0.0000
La2 0.0000 0.5000 0.5000

7.
Entry from the Alexandria database: SrCuSi2 after structural relaxation (GGA-PBE).

Output
As for the density of states at the Fermi level: 0.48 states/eV per atom. For the total magnetic moment, the calculation gives 0.0000 μB/atom. Its theoretical density is 3.81 Mg/m³. The value obtained for the raw formation energy is 0.08 eV per atom. The space-group type is Imm2, No. 44.

Lattice parameters (Å, degrees): 5.1849 5.1849 5.1849 134.53 107.27 90.11
Sites, in units of the cell vectors:
Cu1 0.1633 0.6633 0.5000
Si1 0.0100 0.0100 0.0000
Si2 0.8256 0.3256 0.5000
Sr1 0.5011 0.5011 0.0000

8.
Entry from the Alexandria database: LiAc3Bi after structural relaxation (GGA-PBE).

Output
As for the density of states at the Fermi level: 0.50 states/eV per atom. For the total magnetic moment, the calculation gives 0.0000 μB/atom. Its theoretical density is 8.02 Mg/m³. For the calculated formation energy, the calculation gives 20 meV/atom. The space-group type is Pm-3m, No. 221.

Lattice parameters (Å, degrees): 5.7043 5.7043 5.7043 90.00 90.00 90.00
Sites, in units of the cell vectors:
Ac1 0.0000 0.5000 0.0000
Ac2 0.0000 0.0000 0.5000
Ac3 0.5000 0.0000 0.0000
Bi1 0.5000 0.5000 0.5000
Li1 0.0000 0.0000 0.0000

9.
Entry from the Alexandria database: AsPtPb2 after structural relaxation (GGA-PBE).

Output
As for the density of states at the Fermi level: 0.94 states/eV per atom. For the total magnetic moment, the calculation gives 0.0000 μB/atom. Its theoretical density is 12.24 Mg/m³. For the calculated formation energy, the calculation gives 250 meV/atom. The space-group type is F-43m, No. 216.

Lattice parameters (Å, degrees): 5.0823 5.0823 5.0823 60.00 60.00 60.00
Sites, in units of the cell vectors:
Pb1 0.0000 0.0000 0.0000
Pb2 0.7500 0.7500 0.7500
As1 0.5000 0.5000 0.5000
Pt1 0.2500 0.2500 0.2500

10.
Entry from the Alexandria database: Al2PtPb after structural relaxation (GGA-PBE).

Output
As for the density of states at the Fermi level: 0.46 states/eV per atom. For the total magnetic moment, the calculation gives 0.0000 μB/atom. Its theoretical density is 9.89 Mg/m³. For the calculated formation energy, the calculation gives 11 meV/atom. The space-group type is Pmmm, No. 47.

Lattice parameters (Å, degrees): 4.3436 4.4982 3.9189 90.00 90.00 90.00
Sites, in units of the cell vectors:
Pb1 0.5000 0.0000 0.5000
Al1 0.0000 0.0000 0.0000
Al2 0.5000 0.5000 0.0000
Pt1 0.0000 0.5000 0.5000

11.
Entry from the Alexandria database: AlIn3Au6 after structural relaxation (GGA-PBE).

Output
As for the density of states at the Fermi level: 0.29 states/eV per atom. For the total magnetic moment, the calculation gives 0.0000 μB/atom. Its theoretical density is 12.55 Mg/m³. For the calculated formation energy, the calculation gives -190 meV/atom. The space-group type is P2_1/m, No. 11.

Lattice parameters (Å, degrees): 3.6555 11.2973 11.7812 122.33 90.00 90.00
Sites, in units of the cell vectors:
Al1 0.2500 0.3166 0.9303
Al2 0.7500 0.6834 0.0697
In1 0.2500 0.1348 0.4998
In2 0.7500 0.8652 0.5002
In3 0.2500 0.5640 0.3893
In4 0.7500 0.4360 0.6107
In5 0.2500 0.8910 0.8303
In6 0.7500 0.1090 0.1697
Au1 0.2500 0.3083 0.3934
Au2 0.7500 0.6917 0.6066
Au3 0.2500 0.8687 0.0754
Au4 0.7500 0.1313 0.9246
Au5 0.2500 0.0539 0.7003
Au6 0.7500 0.9461 0.2997
Au7 0.2500 0.7194 0.2603
Au8 0.7500 0.2806 0.7397
Au9 0.2500 0.5193 0.8856
Au10 0.7500 0.4807 0.1144
Au11 0.2500 0.2978 0.1489
Au12 0.7500 0.7022 0.8511